DFT (PBE) results for a relaxed CaPdI2N crystal.

Cell lengths 6.0677, 6.0677, 4.6071 Å; angles 90.00, 90.00, 90.00 degrees
Site moments in Bohr magnetons follow the coordinates.
Fractional positions:
Pd  0.5000  0.5000  0.5000  0.58
Ca  0.0000  0.0000  0.0000  0.01
I  0.5000  0.0000  0.0000  0.12
I  0.0000  0.5000  0.0000  0.12
N  0.0000  0.0000  0.5000  1.34

## Properties
- Energy relative to the elements, uncorrected: 0.4883 eV per atom
- Energy relative to the lowest polymorph listed for this composition: 48.9 kJ/mol of atoms

DFT (PBE) results for a relaxed CaPr2I2N2 crystal.

Cell lengths 4.4220, 4.4220, 10.4545 Å; angles 102.21, 102.21, 90.00 degrees
Fractional positions:
N  0.0000  0.5000  0.0000
N  0.5000  0.0000  0.0000
Pr  0.5764  0.5764  0.1529
Pr  0.4236  0.4236  0.8471
I  0.8351  0.8351  0.6702
I  0.1649  0.1649  0.3298
Ca  0.0000  0.0000  0.0000

## Properties
- Energy relative to the elements, uncorrected: -1.0657 eV per atom

DFT (PBE) results for a relaxed CaPtIN2 crystal.

Cell lengths 4.4076, 4.4076, 6.5032 Å; angles 90.00, 90.00, 90.00 degrees
Site moments in Bohr magnetons follow the coordinates.
Fractional positions:
Pt  0.5000  0.5000  0.5000  0.27
I  0.0000  0.0000  0.5000  0.05
N  0.5000  0.0000  0.0000  1.37
N  0.0000  0.5000  0.0000  1.37
Ca  0.0000  0.0000  0.0000  0.06

## Properties
- Energy relative to the elements, uncorrected: 1.5326 eV per atom
- Energy relative to the lowest polymorph listed for this composition: 79.9 kJ/mol of atoms